Here is crystalline CoCuOF2 at its relaxed geometry from Alexandria. Energies are from GGA+U.

Cell lengths 3.8647, 3.8647, 3.9017 Å; angles 90.00, 90.00, 90.00 degrees
With the nearest neighbours (Å) after each atom.
Space group P4/mmm (No. 123)
Unique sites:
Co 0.0000 0.0000 0.0000  4 O 2.73, 8 F 2.75
Cu 0.5000 0.5000 0.5000  4 F 1.93, 2 O 1.95
O 0.5000 0.5000 0.0000  2 Cu 1.95
F 0.0000 0.5000 0.5000  2 Cu 1.93

Properties
The calculation puts the total energy at -21.6 eV/f.u. The calculation puts the relative energy among the computed polymorphs at 220 meV per atom. As for the total moment: 2.797 μB per formula unit.